# GeAsW4C2

An optimized crystal structure of GeAsW4C2 (GGA-PBE, the Open Quantum Materials Database).

Properties
For the energy, the calculation gives -9.7558 eV per atom. The total moment comes out at 0.00 Bohr magnetons per cell. As for the crystal system: hexagonal. As for the space group: P-6m2 (187). The volume is 109.0 Å³/f.u.

Cell lengths 3.1861, 3.1861, 12.3972 Å; angles 90.00, 90.00, 120.00 degrees
Element x y z (fractional)
W: 0.6667 0.3333 0.3401
W: 0.6667 0.3333 0.6599
W: 0.3333 0.6667 0.8394
W: 0.3333 0.6667 0.1606
C: 0.0000 0.0000 0.7494
C: 0.0000 0.0000 0.2506
Ge: 0.6667 0.3333 0.0000
As: 0.3333 0.6667 0.5000